An optimized crystal structure of CuRu2. Source: the Alexandria database, functional GGA-PBE.

The structure belongs to space group P6_3/mmc (No. 194); the cell edges are 4.2610, 4.2610 and 5.4020 Å and the angles 90.00°, 90.00° and 120.00°. The distinct sites, in fractional coordinates, are Cu at (0.0000, 0.0000, 0.2500) and Ru at (0.3333, 0.6667, 0.0250).

The value obtained for the energy above the most stable polymorph in this dataset is 223.4 meV per atom. The calculation puts the volume at 85 Å³/cell. The formation enthalpy at 0 K comes out at 379 meV per atom.